[1]
## Os2Cl (GGA-PBEsol)

Data for a relaxed structure of Os2Cl.

```
Os2Cl
1.0
3.887 0.000 0.000
-1.944 3.366 0.000
0.000 0.000 7.470
Os Cl
4 2
Direct
0.333 0.667 0.072
0.333 0.667 0.428
0.667 0.333 0.572
0.667 0.333 0.928
0.000 0.000 0.250
0.000 0.000 0.750
```

Computed properties:
The value obtained for the formation energy without anion corrections is 939 meV per atom. The value obtained for the energy above the most stable polymorph in this dataset is 1.56 eV/f.u.

[2]
## OsCl5 (GGA-PBEsol)

Data for a relaxed structure of OsCl5.

```
OsCl5
1.0
1.762 -5.978 0.000
1.762 5.978 0.000
0.000 0.000 6.310
Os Cl
1 5
Direct
0.000 0.000 0.000
0.168 0.832 0.500
0.374 0.626 0.000
0.500 0.500 0.500
0.626 0.374 0.000
0.832 0.168 0.500
```

Computed properties:
The value obtained for the formation energy without anion corrections is 398 meV per atom.

[3]
## Os2Cl (GGA-PBEsol)

Data for a relaxed structure of Os2Cl.

```
Os2Cl
1.0
-1.412 1.412 5.646
1.412 -1.412 5.646
1.412 1.412 -5.646
Os Cl
2 1
Direct
0.179 0.179 0.000
0.821 0.821 0.000
0.500 0.500 0.000
```

Computed properties:
The value obtained for the formation energy without anion corrections is 786 meV per atom. The value obtained for the energy above the most stable polymorph in this dataset is 1.11 eV/f.u.

no.,E (eV/atom)
1,-7.874
2,-3.311
3,-8.027